# BaBrO

An optimized crystal structure of BaBrO (PBE, the Alexandria database).

```
6
Lattice="-4.253 -0.984 -0.245 2.680 -1.048 -3.299 1.695 -8.451 6.042" Properties=species:S:1:pos:R:3 pbc="T T T"
Ba -1.693 -5.210 2.164
Ba 1.531 -9.675 3.248
Br 3.365 -7.398 1.164
Br 0.055 -2.756 0.344
O -0.417 -0.766 -0.232
O 0.519 -4.730 0.893
```

Calculated values
Space group: No. 1
VASP energy in eV per atom: -4.7977
E_form (uncorrected) in eV/f.u.: -5.84

=====

# LaH2I3

An optimized crystal structure of LaH2I3 (PBE, the Alexandria database).

```
12
Lattice="-3.436 2.671 -7.436 -2.247 -7.460 3.804 -3.886 4.901 5.400" Properties=species:S:1:pos:R:3 pbc="T T T"
La -3.886 4.901 5.400
La -5.379 5.122 -4.736
H -3.855 1.100 -2.429
H -5.136 -0.617 4.504
H -5.714 -0.987 4.197
H -4.432 0.729 -2.736
I -4.672 -3.550 -0.871
I -2.691 -0.472 1.654
I -3.492 -4.537 3.416
I -4.896 3.663 2.639
I -6.878 0.584 0.114
I -6.077 4.650 -1.648
```

Calculated values
Space group: No. 2
VASP energy in eV per atom: -3.7117

=====

# Pm3HgRu

An optimized crystal structure of Pm3HgRu (PBE, the Alexandria database).

```
5
Lattice="-0.277 -5.330 -0.945 5.346 -0.120 -0.890 0.854 -0.978 5.263" Properties=species:S:1:pos:R:3 pbc="T T T"
Ru 0.000 0.000 0.000
Hg 2.961 -3.214 1.714
Pm 2.673 -0.060 -0.445
Pm 0.427 -0.489 2.631
Pm -0.139 -2.665 -0.473
```

Calculated values
Space group: No. 221
VASP energy in eV per atom: -4.8770

=====

# RbSiH2

An optimized crystal structure of RbSiH2 (PBE, the Alexandria database).

```
12
Lattice="-5.051 -3.284 -0.227 6.437 -2.559 0.584 -1.137 -1.255 7.023" Properties=species:S:1:pos:R:3 pbc="T T T"
Rb -3.406 -2.599 0.198
Rb 4.314 -2.285 2.767
Rb 0.010 -2.482 4.474
Si 2.713 -4.894 4.706
Si -1.573 -6.083 6.025
Si 0.210 -2.698 0.541
H 2.178 -3.046 7.053
H 1.140 -3.363 1.585
H 2.129 -4.018 3.559
H -0.986 -2.852 1.526
H -2.222 -5.069 5.055
H -2.445 -2.567 3.279
```

Calculated values
Space group: No. 1
VASP energy in eV per atom: -3.3043

=====

# Mg8Co

An optimized crystal structure of Mg8Co (PBE, the Alexandria database).

```
9
Lattice="1.853 -7.004 -1.582 1.681 6.960 1.927 -2.466 -1.733 6.775" Properties=species:S:1:pos:R:3 pbc="T T T"
Mg 1.742 2.044 0.692
Mg 1.792 -2.088 -0.347
Mg -0.259 1.726 2.874
Mg 1.560 -0.541 2.228
Mg -0.203 -2.885 1.715
Mg -0.493 -1.236 4.892
Mg -0.526 3.501 5.828
Mg -0.411 -5.852 3.478
Co 0.000 0.000 0.000
```

Calculated values
Space group: No. 139
VASP energy in eV per atom: -2.1401

=====

# SrGaBi3

An optimized crystal structure of SrGaBi3 (PBE, the Alexandria database).

```
20
Lattice="6.702 0.000 0.000 0.000 9.932 1.055 0.000 -3.677 9.390" Properties=species:S:1:pos:R:3 pbc="T T T"
Sr 5.101 5.616 4.723
Sr 1.600 0.639 5.722
Sr 1.750 7.443 1.555
Sr 4.951 -1.188 8.891
Ga 0.321 4.038 2.124
Ga 6.381 2.216 8.321
Ga 3.672 -0.911 3.098
Ga 3.030 7.166 7.347
Bi 6.437 1.261 2.627
Bi 0.265 4.994 7.819
Bi 3.086 1.867 2.596
Bi 3.616 4.388 7.849
Bi 1.864 4.212 4.568
Bi 4.838 2.042 5.877
Bi 5.215 8.847 1.710
Bi 1.487 -2.592 8.736
Bi 5.308 -1.199 5.440
Bi 1.394 7.454 5.006
Bi 1.957 0.649 9.173
Bi 4.745 5.605 1.272
```

Calculated values
Space group: No. 14
VASP energy in eV per atom: -3.5474

=====

# Ba6SbSe2Cl3

An optimized crystal structure of Ba6SbSe2Cl3 (PBE, the Alexandria database).

```
12
Lattice="8.233 0.003 -0.001 -4.112 7.133 -0.001 -1.375 -2.381 7.549" Properties=species:S:1:pos:R:3 pbc="T T T"
Ba 4.147 2.322 5.719
Ba 2.718 4.706 1.843
Ba -1.401 2.433 1.828
Ba -0.062 4.752 5.719
Ba 0.028 0.049 5.704
Ba 2.808 0.002 1.828
Sb 0.000 0.000 0.000
Se 0.007 4.754 -0.001
Se 4.114 2.382 -0.001
Cl -2.774 4.772 3.773
Cl 5.520 -0.018 3.773
Cl 1.373 2.377 3.773
```

Calculated values
Space group: No. 12
VASP energy in eV per atom: -4.1814
E_form (uncorrected) in eV/f.u.: -22.01

=====

# NaAc6Te8

An optimized crystal structure of NaAc6Te8 (PBE, the Alexandria database).

```
15
Lattice="8.167 0.000 4.715 2.722 7.700 4.715 0.000 0.000 9.430" Properties=species:S:1:pos:R:3 pbc="T T T"
Na 0.000 0.000 0.000
Ac 1.361 3.850 7.073
Ac 4.083 0.000 2.358
Ac 5.445 3.850 4.715
Ac 0.000 0.000 4.715
Ac 1.361 3.850 2.358
Ac 4.083 0.000 7.073
Te 8.167 5.775 14.145
Te 2.722 1.925 4.715
Te 6.811 1.918 7.064
Te 4.078 5.782 11.797
Te 2.712 1.918 9.430
Te 8.177 5.782 9.430
Te 6.811 1.918 11.797
Te 4.078 5.782 7.064
```

Calculated values
Space group: No. 225
VASP energy in eV per atom: -4.8887
E_form (uncorrected) in eV/f.u.: -22.23

=====

# Ho8TlAg2

An optimized crystal structure of Ho8TlAg2 (PBE, the Alexandria database).

```
11
Lattice="-3.179 3.110 2.684 -3.676 2.309 -7.029 -1.338 -7.969 2.623" Properties=species:S:1:pos:R:3 pbc="T T T"
Ho -3.876 1.333 -1.109
Ho -1.974 -3.948 2.237
Ho -1.619 -1.423 -0.268
Ho -3.046 0.840 -4.580
Ho -6.574 -1.126 -1.454
Ho -6.219 1.398 -3.959
Ho -4.317 -3.883 -0.613
Ho -5.146 -3.389 2.858
Tl -1.589 1.555 1.342
Ag -3.546 -1.360 -2.624
Ag -4.647 -1.190 0.901
```

Calculated values
Space group: No. 12
VASP energy in eV per atom: -4.2139

=====

# KCd3Pt

An optimized crystal structure of KCd3Pt (PBE, the Alexandria database).

```
5
Lattice="5.311 0.000 0.000 0.000 5.311 0.000 0.000 0.000 5.311" Properties=species:S:1:pos:R:3 pbc="T T T"
K 2.656 2.656 2.656
Pt 0.000 0.000 0.000
Cd 0.000 2.656 0.000
Cd 0.000 0.000 2.656
Cd 2.656 0.000 0.000
```

Calculated values
Space group: No. 221
VASP energy in eV per atom: -2.2307

=====

# Tb2PrSm2Mg

An optimized crystal structure of Tb2PrSm2Mg (PBE, the Alexandria database).

```
12
Lattice="-1.155 -1.100 3.360 5.207 0.409 1.924 -3.187 17.998 4.799" Properties=species:S:1:pos:R:3 pbc="T T T"
Tb -1.743 6.052 3.441
Tb 2.607 11.255 6.640
Tb -0.163 15.805 5.120
Tb 2.182 2.602 1.602
Pr 0.000 0.000 0.000
Pr 0.432 8.654 5.041
Sm -1.165 2.789 2.571
Sm 1.605 5.865 2.472
Sm 2.029 14.518 7.510
Sm 0.415 12.542 4.250
Mg 2.026 -0.345 2.642
Mg -1.594 8.999 2.399
```

Calculated values
Space group: No. 71
VASP energy in eV per atom: -4.0882

=====

# BC3

An optimized crystal structure of BC3 (PBE, the Alexandria database).

```
12
Lattice="-1.309 3.622 -2.060 -2.801 0.357 -3.332 -2.827 -0.420 4.392" Properties=species:S:1:pos:R:3 pbc="T T T"
B -3.225 0.870 -1.993
B -1.828 1.397 -1.051
B -3.592 2.595 -2.058
C -4.131 3.204 2.230
C -2.195 1.917 0.422
C -4.013 3.248 -0.637
C -2.750 3.358 0.217
C -4.540 0.875 0.286
C -3.262 1.025 1.153
C -3.553 1.815 2.500
C -5.098 2.300 0.033
C -2.603 3.437 -3.000
```

Calculated values
Space group: No. 5
VASP energy in eV per atom: -8.2538

=====

# Pa2MoRu

An optimized crystal structure of Pa2MoRu (PBE, the Alexandria database).

```
4
Lattice="-2.696 0.024 2.255 1.765 -2.165 2.134 2.650 5.230 3.113" Properties=species:S:1:pos:R:3 pbc="T T T"
Ru -0.465 -1.070 2.194
Mo 0.860 1.544 3.751
Pa 2.016 3.979 2.369
Pa 0.634 1.250 0.744
```

Calculated values
Space group: No. 123
VASP energy in eV per atom: -9.8852

=====

# La2SbPt2

An optimized crystal structure of La2SbPt2 (PBE, the Alexandria database).

```
5
Lattice="-1.465 3.428 -1.547 -3.389 -0.484 2.139 0.853 5.646 6.438" Properties=species:S:1:pos:R:3 pbc="T T T"
Sb 0.000 0.000 0.000
Pt -1.519 5.273 2.594
Pt -2.481 3.317 4.436
La -1.676 2.428 1.703
La -2.325 6.162 5.327
```

Calculated values
Space group: No. 139
VASP energy in eV per atom: -6.2181
E_form (uncorrected) in eV/f.u.: -5.03

=====

# KNb2SiAg

An optimized crystal structure of KNb2SiAg (PBE, the Alexandria database).

```
5
Lattice="4.894 0.000 0.000 0.000 4.894 0.000 0.000 0.000 4.992" Properties=species:S:1:pos:R:3 pbc="T T T"
Nb 0.000 2.447 0.000
Nb 2.447 0.000 0.000
Si 0.000 0.000 0.000
K 2.447 2.447 2.496
Ag 0.000 0.000 2.496
```

Calculated values
Space group: No. 123
VASP energy in eV per atom: -4.9385
E_form (uncorrected) in eV/f.u.: 4.82

=====

# NaSrP

An optimized crystal structure of NaSrP (PBE, the Alexandria database).

```
6
Lattice="4.966 0.000 0.000 0.000 4.966 0.000 0.000 0.000 7.237" Properties=species:S:1:pos:R:3 pbc="T T T"
Na 2.483 2.483 1.809
Na 2.483 2.483 5.428
Sr 0.000 0.000 1.809
Sr 0.000 0.000 5.428
P 0.000 2.483 3.619
P 2.483 0.000 0.000
```

Calculated values
Space group: No. 131
VASP energy in eV per atom: -3.5456

=====

# CuNi3Se8

An optimized crystal structure of CuNi3Se8 (PBE, the Alexandria database).

```
12
Lattice="-4.501 3.994 4.032 -2.695 -5.372 -4.173 5.637 0.325 5.871" Properties=species:S:1:pos:R:3 pbc="T T T"
Cu 0.000 0.000 0.000
Ni -2.250 1.997 2.016
Ni -3.598 -0.689 -0.070
Ni -1.348 -2.686 -2.086
Se 2.220 -1.132 3.499
Se -3.779 0.078 2.232
Se 0.839 -3.866 1.451
Se -1.389 -1.883 3.457
Se 0.096 1.044 5.487
Se -1.655 -2.097 0.244
Se -0.171 0.830 2.274
Se -2.398 2.812 4.280
```

Calculated values
Space group: No. 2
VASP energy in eV per atom: -4.3123
E_form (uncorrected) in eV/f.u.: -2.43

=====

# Ca2H7

An optimized crystal structure of Ca2H7 (PBE, the Alexandria database).

```
9
Lattice="4.089 0.000 2.361 1.363 3.855 2.361 0.000 0.000 4.722" Properties=species:S:1:pos:R:3 pbc="T T T"
Ca 4.089 2.891 7.083
Ca 1.363 0.964 2.361
H 0.000 0.000 0.000
H 2.003 2.950 5.974
H 4.172 2.950 4.722
H 3.449 0.905 5.974
H 3.449 0.905 3.469
H 1.280 0.905 4.722
H 2.003 2.950 3.469
```

Calculated values
Space group: No. 225
VASP energy in eV per atom: -2.9226

=====

# NaTcBi2

An optimized crystal structure of NaTcBi2 (PBE, the Alexandria database).

```
8
Lattice="7.078 0.000 0.000 0.000 7.078 0.000 3.539 3.539 6.078" Properties=species:S:1:pos:R:3 pbc="T T T"
Na 3.539 3.539 0.000
Na 3.539 7.078 3.039
Bi 5.875 1.769 1.519
Bi 1.203 5.308 1.519
Bi 5.308 4.742 4.558
Bi 8.847 9.414 4.558
Tc 0.000 0.000 0.000
Tc 7.078 3.539 3.039
```

Calculated values
Space group: No. 122
VASP energy in eV per atom: -4.3076

=====

# Ac3PtN

An optimized crystal structure of Ac3PtN (PBE, the Alexandria database).

```
10
Lattice="-2.899 2.953 -5.853 -0.405 -9.735 -4.711 -2.061 3.065 6.956" Properties=species:S:1:pos:R:3 pbc="T T T"
Ac -4.191 -3.623 -6.311
Ac -0.983 -2.554 -0.802
Ac -2.758 -5.083 -3.418
Ac -2.605 1.366 -0.191
Ac -1.172 -0.094 2.703
Ac -4.381 -1.163 -2.806
Pt -3.279 -1.647 0.793
Pt -2.084 -2.070 -4.401
N -3.686 3.668 -0.713
N -1.677 -7.386 -2.895
```

Calculated values
Space group: No. 12
VASP energy in eV per atom: -6.0160
E_form (uncorrected) in eV/f.u.: -3.39